Record 1
## Li2ZrCl (GGA-PBE)

Data for crystalline Li2ZrCl at its relaxed geometry.

Geometry as extended XYZ:
```
4
Lattice="-0.345 0.406 -6.142 2.402 -3.672 -4.330 -3.207 0.178 5.262" Properties=species:S:1:pos:R:3 pbc="T T T"
Zr 0.112 -2.564 -2.152
Li 1.029 -1.633 -5.236
Li 0.000 0.000 0.000
Cl -1.262 -0.525 -3.058
```

Computed properties:
The density is 3.047 Mg/m³. The offset from the most stable computed form is 0.512 eV/atom. As for the space-group type: I4/mmm. Its uncorrected formation energy is -0.083 eV/atom. The final energy comes out at -3.639 eV/atom.

=====

Record 2
## CsCaInS3 (GGA-PBE)

Data for crystalline CsCaInS3 at its relaxed geometry.

Geometry as extended XYZ:
```
12
Lattice="-0.288 -5.154 2.526 6.936 1.279 -3.137 0.739 4.132 8.514" Properties=species:S:1:pos:R:3 pbc="T T T"
In 0.983 1.306 2.777
In 6.405 -1.049 5.126
Ca 5.240 0.740 2.106
Ca 2.148 -0.483 5.797
Cs 5.444 3.060 6.862
Cs 1.943 -2.802 1.040
S 5.276 -2.029 2.998
S 4.752 -0.193 6.685
S 0.483 -1.369 3.798
S 2.635 0.450 1.218
S 2.112 2.286 4.905
S 6.905 1.626 4.104
```

Computed properties:
The density is 3.361 Mg/m³. As for the space-group type: C2/m. Its uncorrected formation energy is -1.166 eV/atom. The final energy comes out at -4.162 eV/atom.

=====

Record 3
## BiAu2S (GGA-PBE)

Data for crystalline BiAu2S at its relaxed geometry.

Geometry as extended XYZ:
```
8
Lattice="-6.381 -2.027 0.944 2.230 -5.552 3.150 -2.188 -1.602 5.983" Properties=species:S:1:pos:R:3 pbc="T T T"
Bi -5.322 -3.710 4.487
Bi 0.000 0.000 0.000
Au -3.981 -2.274 2.439
Au -5.369 -7.594 7.934
Au -3.101 -4.283 6.158
Au -0.226 -4.211 3.623
S -1.017 -5.472 5.590
S -2.075 -3.790 2.047
```

Computed properties:
The density is 10.239 Mg/m³. As for the space-group type: I-42d. Its uncorrected formation energy is 0.130 eV/atom. The final energy comes out at -3.511 eV/atom.

=====

Record 4
## Ho2TeO6 (GGA-PBE)

Data for crystalline Ho2TeO6 at its relaxed geometry.

Geometry as extended XYZ:
```
27
Lattice="-7.497 0.431 -5.181 3.255 -8.101 2.649 -2.943 0.216 4.276" Properties=species:S:1:pos:R:3 pbc="T T T"
O -1.314 -4.197 3.803
O -3.770 -3.378 -0.607
O -0.053 -6.904 5.287
O -4.930 -6.028 -1.752
O -1.733 -0.860 0.188
O -2.360 -6.701 3.209
O -1.099 -3.591 1.207
O -6.014 -2.903 -2.175
O -0.045 -6.023 2.055
O -2.583 -1.407 3.269
O -4.815 -1.565 1.295
O -2.336 -5.974 0.476
O -7.095 -1.351 -0.285
O -6.164 -3.858 0.482
O -6.946 -0.213 -3.433
O -5.309 -6.949 1.672
O -3.600 -4.412 2.240
O -4.497 -0.772 -1.238
Ho -1.614 -2.918 -0.963
Ho -3.591 0.230 0.673
Ho -4.645 0.267 -3.210
Ho 2.017 -5.019 1.641
Ho -0.551 -2.182 2.887
Ho -4.514 -5.393 0.322
Te -5.390 -2.305 -0.425
Te -1.795 -5.149 2.169
Te 0.000 0.000 0.000
```

Computed properties:
The density is 7.362 Mg/m³. The offset from the most stable computed form is 0.004 eV/atom. As for the space-group type: P321. Its uncorrected formation energy is -2.563 eV/atom. The final energy comes out at -7.235 eV/atom.